No. 1
Entry from Alexandria: crystalline LiPtI at its relaxed geometry (PBE-GGA).

Structure (POSCAR):
```
LiPtI
1.0
0.000 3.182 3.182
3.182 0.000 3.182
3.182 3.182 0.000
Li Pt I
1 1 1
Direct
0.000 0.000 0.000
0.750 0.750 0.750
0.500 0.500 0.500
```

Computed properties:
Raw total energy in eV per atom: -3.44
V in Å³ per atom: 21.487
Energy relative to the lowest polymorph listed for this composition in eV/atom: 0.3087
Raw formation energy in meV per atom: -272

***

No. 2
Entry from Alexandria: crystalline Tb4SnBi2Se at its relaxed geometry (PBE-GGA).

Structure (POSCAR):
```
Tb4SnBi2Se
1.0
7.592 0.000 0.000
0.000 4.369 0.000
-2.517 0.000 7.187
Tb Sn Bi Se
4 1 2 1
Direct
0.246 0.000 0.238
0.250 0.500 0.761
0.750 0.500 0.239
0.754 0.000 0.762
0.500 0.000 0.000
0.000 0.000 0.500
0.500 0.500 0.500
0.000 0.500 0.000
```

Computed properties:
Raw total energy in eV per atom: -5.27
V in Å³ per atom: 29.798
Raw formation energy in meV per atom: -1048

***

No. 3
Entry from Alexandria: crystalline CaPb4W at its relaxed geometry (PBE-GGA).

Structure (POSCAR):
```
CaPb4W
1.0
0.000 4.499 4.499
4.499 0.000 4.499
4.499 4.499 0.000
Ca Pb W
1 4 1
Direct
0.000 0.000 0.000
0.127 0.624 0.624
0.624 0.127 0.624
0.624 0.624 0.127
0.624 0.624 0.624
0.250 0.250 0.250
```

Computed properties:
Raw total energy in eV per atom: -4.16
Energy of formation in eV per atom: 0.81
V in Å³ per atom: 30.351

***

No. 4
Entry from Alexandria: crystalline BeNi2Cl at its relaxed geometry (PBE-GGA).

Structure (POSCAR):
```
BeNi2Cl
1.0
2.984 0.000 0.000
0.000 2.984 0.000
0.000 0.000 5.527
Be Ni Cl
1 2 1
Direct
0.000 0.000 0.000
0.000 0.000 0.615
0.500 0.500 0.887
0.500 0.500 0.314
```

Computed properties:
Raw total energy in eV per atom: -4.13
V in Å³ per atom: 12.301
Energy relative to the lowest polymorph listed for this composition in eV/atom: 0.1854
Raw formation energy in meV per atom: 156

***

No. 5
Entry from Alexandria: crystalline Ag2IrBr at its relaxed geometry (PBE-GGA).

Structure (POSCAR):
```
Ag2IrBr
1.0
3.107 0.000 0.000
0.000 4.726 0.000
0.000 0.000 4.926
Ag Ir Br
2 1 1
Direct
0.000 0.000 0.000
0.500 0.500 0.000
0.000 0.500 0.500
0.500 0.000 0.500
```

Computed properties:
Raw total energy in eV per atom: -3.38
V in Å³ per atom: 18.081
Energy relative to the lowest polymorph listed for this composition in eV/atom: 0.2326
Raw formation energy in meV per atom: 678

***

No. 6
Entry from Alexandria: crystalline Pm6Ga2Sb at its relaxed geometry (PBE-GGA).

Structure (POSCAR):
```
Pm6Ga2Sb
1.0
-4.875 5.021 5.437
4.875 -5.021 5.437
4.875 5.021 -5.437
Pm Ga Sb
12 4 2
Direct
0.029 0.233 0.796
0.185 0.280 0.465
0.185 0.720 0.905
0.324 0.031 0.707
0.324 0.618 0.293
0.436 0.233 0.204
0.564 0.767 0.796
0.676 0.382 0.707
0.676 0.969 0.293
0.815 0.280 0.095
0.815 0.720 0.535
0.971 0.767 0.204
0.119 0.619 0.500
0.368 0.000 0.368
0.632 0.000 0.632
0.881 0.381 0.500
0.000 0.000 0.000
0.500 0.500 0.000
```

Computed properties:
Raw total energy in eV per atom: -4.80
V in Å³ per atom: 29.575
Raw formation energy in meV per atom: -502

***

No. 7
Entry from Alexandria: crystalline NdY2ScSe6 at its relaxed geometry (PBE-GGA).

Structure (POSCAR):
```
NdY2ScSe6
1.0
3.590 2.073 6.447
-3.590 2.073 6.447
0.000 -4.145 6.447
Nd Y Sc Se
1 2 1 6
Direct
0.000 0.000 0.000
0.297 0.297 0.297
0.803 0.803 0.803
0.493 0.493 0.493
0.102 0.689 0.411
0.222 0.590 0.879
0.411 0.102 0.689
0.590 0.879 0.222
0.689 0.411 0.102
0.879 0.222 0.590
```

Computed properties:
Raw total energy in eV per atom: -6.29
V in Å³ per atom: 28.781
Raw formation energy in meV per atom: -1793

***

No. 8
Entry from Alexandria: crystalline KMg4As3 at its relaxed geometry (PBE-GGA).

Structure (POSCAR):
```
KMg4As3
1.0
2.221 1.282 12.070
-2.221 1.282 12.070
0.000 -2.564 12.070
K Mg As
1 4 3
Direct
0.000 0.000 0.000
0.197 0.197 0.197
0.414 0.414 0.414
0.586 0.586 0.586
0.803 0.803 0.803
0.269 0.269 0.269
0.500 0.500 0.500
0.731 0.731 0.731
```

Computed properties:
Raw total energy in eV per atom: -3.32
Energy of formation in eV per atom: -0.65
V in Å³ per atom: 25.773

***

No. 9
Entry from Alexandria: crystalline KTi2CuO6 at its relaxed geometry (PBE-GGA).

Structure (POSCAR):
```
KTi2CuO6
1.0
5.996 -4.700 0.000
5.996 4.700 0.000
-2.673 0.000 5.275
K Ti Cu O
2 4 2 12
Direct
0.177 0.823 0.750
0.823 0.177 0.250
0.135 0.346 0.871
0.346 0.135 0.371
0.654 0.865 0.629
0.865 0.654 0.129
0.332 0.668 0.250
0.668 0.332 0.750
0.124 0.568 0.242
0.178 0.191 0.564
0.191 0.178 0.064
0.270 0.534 0.914
0.432 0.876 0.258
0.466 0.730 0.586
0.534 0.270 0.414
0.568 0.124 0.742
0.730 0.466 0.086
0.809 0.822 0.936
0.822 0.809 0.436
0.876 0.432 0.758
```

Computed properties:
Raw total energy in eV per atom: -7.21
V in Å³ per atom: 14.865
Raw formation energy in meV per atom: -2140

***

No. 10
Entry from Alexandria: crystalline In5Fe at its relaxed geometry (PBE-GGA).

Structure (POSCAR):
```
In5Fe
1.0
3.170 0.000 0.000
0.000 3.170 0.000
0.000 0.000 14.019
In Fe
5 1
Direct
0.000 0.000 0.000
0.000 0.000 0.379
0.000 0.000 0.621
0.500 0.500 0.190
0.500 0.500 0.810
0.500 0.500 0.500
```

Computed properties:
Raw total energy in eV per atom: -3.53
Energy of formation in eV per atom: 0.16
V in Å³ per atom: 23.474

***

No. 11
Entry from Alexandria: crystalline NbPb2Br at its relaxed geometry (PBE-GGA).

Structure (POSCAR):
```
NbPb2Br
1.0
-3.091 3.091 8.135
3.091 -3.091 8.135
3.091 3.091 -8.135
Nb Pb Br
2 4 2
Direct
0.000 0.000 0.000
0.750 0.250 0.500
0.054 0.625 0.929
0.375 0.304 0.429
0.696 0.125 0.071
0.875 0.946 0.571
0.250 0.750 0.500
0.500 0.500 0.000
```

Computed properties:
Raw total energy in eV per atom: -4.02
V in Å³ per atom: 38.854
Energy relative to the lowest polymorph listed for this composition in eV/atom: 0.0500
Raw formation energy in meV per atom: 766

***

No. 12
Entry from Alexandria: crystalline TlTeCl2 at its relaxed geometry (PBE-GGA).

Structure (POSCAR):
```
TlTeCl2
1.0
5.230 0.000 0.000
0.000 4.578 0.000
-0.384 0.000 5.529
Tl Te Cl
1 1 2
Direct
0.000 0.000 0.000
0.500 0.000 0.500
0.298 0.500 0.709
0.702 0.500 0.291
```

Computed properties:
Raw total energy in eV per atom: -2.69
V in Å³ per atom: 33.099
Energy relative to the lowest polymorph listed for this composition in eV/atom: 0.0752
Raw formation energy in meV per atom: -390

***

No. 13
Entry from Alexandria: crystalline Mg2Ge at its relaxed geometry (PBE-GGA).

Structure (POSCAR):
```
Mg2Ge
1.0
0.000 3.207 3.207
3.207 0.000 3.207
3.207 3.207 0.000
Mg Ge
2 1
Direct
0.250 0.250 0.250
0.750 0.750 0.750
0.000 0.000 0.000
```

Computed properties:
Raw total energy in eV per atom: -2.88
Energy of formation in eV per atom: -0.27
V in Å³ per atom: 21.984

***

No. 14
Entry from Alexandria: crystalline MnTeS2 at its relaxed geometry (PBE-GGA).

Structure (POSCAR):
```
MnTeS2
1.0
3.405 -6.234 0.000
3.405 6.234 0.000
-2.488 0.000 4.603
Mn Te S
2 2 4
Direct
0.023 0.977 0.750
0.977 0.023 0.250
0.232 0.768 0.750
0.768 0.232 0.250
0.151 0.305 0.090
0.305 0.151 0.590
0.695 0.849 0.410
0.849 0.695 0.910
```

Computed properties:
Raw total energy in eV per atom: -5.31
V in Å³ per atom: 24.429
Raw formation energy in meV per atom: -169

***

No. 15
Entry from Alexandria: crystalline CePb5Se7 at its relaxed geometry (PBE-GGA).

Structure (POSCAR):
```
CePb5Se7
1.0
2.113 -7.288 0.000
2.113 7.288 0.000
0.000 0.000 25.317
Ce Pb Se
2 10 14
Direct
0.208 0.792 0.500
0.792 0.208 0.000
0.017 0.983 0.740
0.255 0.745 0.163
0.292 0.708 0.815
0.439 0.561 0.389
0.477 0.523 0.585
0.523 0.477 0.085
0.561 0.439 0.889
0.708 0.292 0.315
0.745 0.255 0.663
0.983 0.017 0.240
0.066 0.934 0.344
0.117 0.883 0.608
0.182 0.818 0.055
0.211 0.789 0.923
0.347 0.653 0.278
0.380 0.620 0.698
0.428 0.572 0.983
0.572 0.428 0.483
0.620 0.380 0.198
0.653 0.347 0.778
0.789 0.211 0.423
0.818 0.182 0.555
0.883 0.117 0.108
0.934 0.066 0.844
```

Computed properties:
Raw total energy in eV per atom: -4.53
V in Å³ per atom: 29.993
Raw formation energy in meV per atom: -776

***

No. 16
Entry from Alexandria: crystalline ZrOs2Br at its relaxed geometry (PBE-GGA).

Structure (POSCAR):
```
ZrOs2Br
1.0
3.020 0.000 0.000
0.000 4.699 0.000
0.000 0.000 4.745
Zr Os Br
1 2 1
Direct
0.000 0.000 0.000
0.000 0.500 0.500
0.500 0.500 0.000
0.500 0.000 0.500
```

Computed properties:
Raw total energy in eV per atom: -7.64
V in Å³ per atom: 16.833
Energy relative to the lowest polymorph listed for this composition in eV/atom: 0.4137
Raw formation energy in meV per atom: 533

***

No. 17
Entry from Alexandria: crystalline Y3HfGe at its relaxed geometry (PBE-GGA).

Structure (POSCAR):
```
Y3HfGe
1.0
5.488 0.000 0.000
0.000 5.488 0.000
0.000 0.000 5.488
Y Hf Ge
3 1 1
Direct
0.000 0.000 0.500
0.000 0.500 0.000
0.500 0.000 0.000
0.000 0.000 0.000
0.500 0.500 0.500
```

Computed properties:
Raw total energy in eV per atom: -6.01
Energy of formation in eV per atom: 0.78
V in Å³ per atom: 33.056
Energy relative to the lowest polymorph listed for this composition in eV/atom: 0.5328

***

No. 18
Entry from Alexandria: crystalline Tb4PrEr6 at its relaxed geometry (PBE-GGA).

Structure (POSCAR):
```
Tb4PrEr6
1.0
2.828 -4.827 0.000
2.828 4.827 0.000
0.000 0.000 25.625
Tb Pr Er
8 2 12
Direct
0.014 0.986 0.621
0.014 0.986 0.879
0.338 0.662 0.542
0.338 0.662 0.958
0.662 0.338 0.042
0.662 0.338 0.458
0.986 0.014 0.121
0.986 0.014 0.379
0.324 0.676 0.250
0.676 0.324 0.750
0.000 0.000 0.000
0.000 0.000 0.500
0.010 0.990 0.750
0.322 0.678 0.102
0.322 0.678 0.398
0.345 0.655 0.681
0.345 0.655 0.819
0.655 0.345 0.181
0.655 0.345 0.319
0.678 0.322 0.602
0.678 0.322 0.898
0.990 0.010 0.250
```

Computed properties:
Raw total energy in eV per atom: -4.49
Energy of formation in eV per atom: 0.12
V in Å³ per atom: 31.806
Energy relative to the lowest polymorph listed for this composition in eV/atom: 0.0000

***

No. 19
Entry from Alexandria: crystalline PuAgF4 at its relaxed geometry (PBE-GGA).

Structure (POSCAR):
```
PuAgF4
1.0
-2.835 2.835 5.978
2.835 -2.835 5.978
2.835 2.835 -5.978
Pu Ag F
2 2 8
Direct
0.250 0.250 0.000
0.750 0.750 0.000
0.000 0.500 0.500
0.500 0.000 0.500
0.108 0.608 0.994
0.114 0.108 0.500
0.386 0.886 0.994
0.392 0.386 0.500
0.608 0.614 0.500
0.614 0.114 0.006
0.886 0.892 0.500
0.892 0.392 0.006
```

Computed properties:
Raw total energy in eV per atom: -6.85
V in Å³ per atom: 16.020
Raw formation energy in meV per atom: -2740

***

No. 20
Entry from Alexandria: crystalline Th4NiRhSe2 at its relaxed geometry (PBE-GGA).

Structure (POSCAR):
```
Th4NiRhSe2
1.0
7.011 0.000 0.000
0.000 4.135 0.000
-2.292 0.000 7.255
Th Ni Rh Se
4 1 1 2
Direct
0.242 0.000 0.220
0.252 0.500 0.778
0.748 0.500 0.222
0.758 0.000 0.780
0.000 0.500 0.000
0.500 0.000 0.000
0.000 0.000 0.500
0.500 0.500 0.500
```

Computed properties:
Raw total energy in eV per atom: -7.29
V in Å³ per atom: 26.295
Raw formation energy in meV per atom: -1070

***

No. 21
Entry from Alexandria: crystalline Y2SnHg2 at its relaxed geometry (PBE-GGA).

Structure (POSCAR):
```
Y2SnHg2
1.0
-2.011 2.011 8.773
2.011 -2.011 8.773
2.011 2.011 -8.773
Y Sn Hg
2 1 2
Direct
0.101 0.101 0.000
0.899 0.899 0.000
0.500 0.500 0.000
0.250 0.750 0.500
0.750 0.250 0.500
```

Computed properties:
Raw total energy in eV per atom: -3.76
Energy of formation in eV per atom: -0.26
V in Å³ per atom: 28.373
Energy relative to the lowest polymorph listed for this composition in eV/atom: 0.2299

***

No. 22
Entry from Alexandria: crystalline Cs2TlPd at its relaxed geometry (PBE-GGA).

Structure (POSCAR):
```
Cs2TlPd
1.0
0.000 4.368 4.368
4.368 0.000 4.368
4.368 4.368 0.000
Cs Tl Pd
2 1 1
Direct
0.250 0.250 0.250
0.750 0.750 0.750
0.000 0.000 0.000
0.500 0.500 0.500
```

Computed properties:
Raw total energy in eV per atom: -2.04
Energy of formation in eV per atom: 0.28
V in Å³ per atom: 41.676
Energy relative to the lowest polymorph listed for this composition in eV/atom: 0.3747

***

No. 23
Entry from Alexandria: crystalline NaLaPb2C at its relaxed geometry (PBE-GGA).

Structure (POSCAR):
```
NaLaPb2C
1.0
6.346 0.000 0.000
0.000 6.346 0.000
0.000 0.000 4.490
Na La Pb C
1 1 2 1
Direct
0.000 0.000 0.000
0.500 0.500 0.500
0.000 0.500 0.500
0.500 0.000 0.500
0.500 0.500 0.000
```

Computed properties:
Raw total energy in eV per atom: -3.66
Energy of formation in eV per atom: 0.92
V in Å³ per atom: 36.167

***

No. 24
Entry from Alexandria: crystalline NiHgBr2 at its relaxed geometry (PBE-GGA).

Structure (POSCAR):
```
NiHgBr2
1.0
3.921 -3.897 0.000
3.921 3.897 0.000
-1.506 0.000 3.642
Ni Hg Br
1 1 2
Direct
0.000 0.000 0.000
0.500 0.500 0.000
0.000 0.500 0.000
0.500 0.000 0.000
```

Computed properties:
Raw total energy in eV per atom: -2.09
V in Å³ per atom: 27.823
Energy relative to the lowest polymorph listed for this composition in eV/atom: 0.5059
Raw formation energy in meV per atom: 268